A relaxed structure of ScFe2Pb2O6. Source: Alexandria, functional PBE+U.

```
data_ScFe2Pb2O6
_chemical_formula_sum 'Sc1 Fe2 Pb2 O6'
_cell_length_a 6.453
_cell_length_b 6.453
_cell_length_c 6.453
_cell_angle_alpha 55.66
_cell_angle_beta 55.66
_cell_angle_gamma 55.66
_symmetry_space_group_name_H-M 'P 1'
_symmetry_Int_Tables_number 1
loop_
_symmetry_equiv_pos_as_xyz
'x,y,z'
loop_
_atom_site_label
_atom_site_type_symbol
_atom_site_fract_x
_atom_site_fract_y
_atom_site_fract_z
Sc1 Sc 0.000 0.000 0.000
Fe1 Fe 0.421 0.421 0.421
Fe2 Fe 0.579 0.579 0.579
Pb1 Pb 0.195 0.195 0.195
Pb2 Pb 0.805 0.805 0.805
O1 O 0.224 0.760 0.760
O2 O 0.240 0.240 0.776
O3 O 0.240 0.776 0.240
O4 O 0.760 0.224 0.760
O5 O 0.760 0.760 0.224
O6 O 0.776 0.240 0.240
```

Values from the calculation:
Uncorrected energy: -72.672 eV/cell
Size of the total moment: 9.0 μB per formula unit